1.
Here is crystalline Mn2GaSe2 at its relaxed geometry from the Alexandria database. Energies are from PBE.

Unit cell a=3.0219 b=10.2071 c=5.4785 alpha=90.00 beta=90.00 gamma=90.00
Atoms (fractional coordinates):
Se  0.0000  0.8288  0.4288
Mn  0.0000  0.5989  0.2251
Se  0.5000  0.6712  0.9288
Se  0.0000  0.1712  0.4288
Ga  0.5000  0.5000  0.5681
Mn  0.5000  0.0989  0.7251
Ga  0.0000  0.0000  0.0681
Mn  0.0000  0.4011  0.2251
Mn  0.5000  0.9011  0.7251
Se  0.5000  0.3288  0.9288

The calculation puts the final energy at -5.762 eV per atom. For the formation energy without anion corrections, the calculation gives -0.095 eV/atom. The total moment comes out at 0.9 μB/f.u. The value obtained for the volume is 169.0 Å³ per cell.

***

2.
Here is crystalline Mn2GaSe2 at its relaxed geometry from the Alexandria database. Energies are from PBE.

Unit cell a=5.4287 b=4.0231 c=5.2858 alpha=90.00 beta=121.16 gamma=90.00
Atoms (fractional coordinates):
Mn  0.4105  0.5000  0.5420
Mn  0.2527  0.0000  0.1571
Se  0.2470  0.0000  0.6713
Ga  0.6482  0.5000  0.2541
Se  0.9268  0.5000  0.0005

The calculation puts the final energy at -5.795 eV per atom. For the formation energy without anion corrections, the calculation gives -0.128 eV/atom. The total moment comes out at 6.8 μB/f.u. The value obtained for the volume is 98.8 Å³ per cell.

***

3.
Here is crystalline Mn2GaSe2 at its relaxed geometry from the Alexandria database. Energies are from PBE.

Unit cell a=6.8721 b=3.8730 c=8.4647 alpha=90.00 beta=103.71 gamma=90.00
Atoms (fractional coordinates):
Se  0.5679  0.5000  0.6922
Ga  0.7903  0.5000  0.5030
Mn  0.8119  0.5000  0.2188
Ga  0.7903  0.0000  0.0030
Se  0.1756  0.0000  0.7976
Se  0.5679  0.0000  0.1922
Mn  0.1690  0.0000  0.1009
Se  0.1756  0.5000  0.2976
Mn  0.1690  0.5000  0.6009
Mn  0.8119  0.0000  0.7188

The calculation puts the final energy at -5.765 eV per atom. For the formation energy without anion corrections, the calculation gives -0.098 eV/atom. The total moment comes out at 7.2 μB/f.u. The value obtained for the volume is 218.9 Å³ per cell.

***

4.
Here is crystalline Mn2GaSe2 at its relaxed geometry from the Alexandria database. Energies are from PBE.

Unit cell a=5.0098 b=3.3708 c=12.2925 alpha=90.00 beta=114.14 gamma=90.00
Atoms (fractional coordinates):
Mn  0.1770  0.5000  0.6776
Mn  0.8230  0.0000  0.8224
Ga  0.0000  0.0000  0.5000
Ga  0.0000  0.5000  0.0000
Se  0.6555  0.5000  0.6561
Mn  0.1770  0.0000  0.1776
Se  0.3445  0.5000  0.3439
Se  0.6555  0.0000  0.1561
Mn  0.8230  0.5000  0.3224
Se  0.3445  0.0000  0.8439

The calculation puts the final energy at -5.854 eV per atom. For the formation energy without anion corrections, the calculation gives -0.187 eV/atom. The total moment comes out at 6.6 μB/f.u. The value obtained for the volume is 189.4 Å³ per cell.

***

5.
Here is crystalline MnGaSe2 at its relaxed geometry from the Alexandria database. Energies are from PBE.

Unit cell a=5.7895 b=5.7895 c=6.8294 alpha=64.92 beta=64.92 gamma=90.00
Atoms (fractional coordinates):
Se  0.8750  0.8237  0.7500
Mn  0.5000  0.5000  0.0000
Se  0.3750  0.4263  0.7500
Ga  0.0000  0.0000  0.0000
Ga  0.7500  0.2500  0.5000
Se  0.5737  0.1250  0.2500
Se  0.1763  0.6250  0.2500
Mn  0.2500  0.7500  0.5000

The calculation puts the final energy at -4.857 eV per atom. For the formation energy without anion corrections, the calculation gives -0.065 eV/atom. The total moment comes out at 0.0 μB/f.u. The value obtained for the volume is 183.2 Å³ per cell.

***

6.
Here is crystalline MnGaSi2Se at its relaxed geometry from the Alexandria database. Energies are from PBE.

Unit cell a=4.4552 b=4.7884 c=4.4552 alpha=90.00 beta=90.00 gamma=90.00
Atoms (fractional coordinates):
Ga  0.0000  0.5000  0.0000
Se  0.5000  0.5000  0.5000
Si  0.5000  0.0000  0.0000
Si  0.0000  0.0000  0.5000
Mn  0.0000  0.0000  0.0000

The calculation puts the final energy at -5.035 eV per atom. For the formation energy without anion corrections, the calculation gives 0.270 eV/atom. The total moment comes out at 1.8 μB/f.u. The value obtained for the volume is 95.0 Å³ per cell.

***

7.
Here is crystalline Sr2MnGaSe5 at its relaxed geometry from the Alexandria database. Energies are from PBE.

Unit cell a=4.0307 b=9.2905 c=12.7216 alpha=90.00 beta=90.00 gamma=102.53
Atoms (fractional coordinates):
Ga  0.4347  0.8694  0.4349
Sr  0.8821  0.7642  0.1799
Se  0.7136  0.4273  0.1600
Se  0.6496  0.2992  0.5022
Se  0.4997  0.9993  0.7736
Se  0.6960  0.3919  0.8837
Mn  0.2119  0.4239  0.0278
Sr  0.1307  0.2615  0.3142
Mn  0.7881  0.5761  0.5278
Sr  0.8693  0.7385  0.8142
Se  0.3040  0.6081  0.3837
Se  0.5003  0.0007  0.2736
Se  0.9415  0.8829  0.5478
Se  0.0585  0.1171  0.0478
Ga  0.5653  0.1306  0.9349
Sr  0.1179  0.2358  0.6799
Se  0.3504  0.7008  0.0022
Se  0.2864  0.5727  0.6600

The calculation puts the final energy at -4.825 eV per atom. For the formation energy without anion corrections, the calculation gives -1.160 eV/atom. The total moment comes out at 4.0 μB/f.u. The value obtained for the volume is 465.0 Å³ per cell.

***

8.
Here is crystalline MnGaTc2Se at its relaxed geometry from the Alexandria database. Energies are from PBE.

Unit cell a=4.5260 b=4.2712 c=4.5260 alpha=90.00 beta=90.00 gamma=90.00
Atoms (fractional coordinates):
Ga  0.5000  0.5000  0.5000
Mn  0.0000  0.5000  0.0000
Tc  0.5000  0.0000  0.0000
Se  0.0000  0.0000  0.0000
Tc  0.0000  0.0000  0.5000

The calculation puts the final energy at -6.413 eV per atom. For the formation energy without anion corrections, the calculation gives 0.870 eV/atom. The total moment comes out at 2.4 μB/f.u. The value obtained for the volume is 87.5 Å³ per cell.

***

9.
Here is crystalline MnTl2GaSe4 at its relaxed geometry from the Alexandria database. Energies are from PBE.

Unit cell a=7.4441 b=7.4444 c=6.6423 alpha=124.08 beta=124.08 gamma=90.01
Atoms (fractional coordinates):
Se  0.0424  0.1221  0.7643
Tl  0.4857  0.9857  0.9714
Se  0.8297  0.4295  0.1795
Tl  0.2358  0.2358  0.4718
Mn  0.9858  0.4858  0.9716
Se  0.3498  0.7500  0.1795
Se  0.7219  0.6422  0.7643
Ga  0.7359  0.7359  0.4718

The calculation puts the final energy at -4.316 eV per atom. For the formation energy without anion corrections, the calculation gives -0.458 eV/atom. The total moment comes out at 4.0 μB/f.u. The value obtained for the volume is 224.4 Å³ per cell.

***

10.
Here is crystalline MnTl2GaSe5 at its relaxed geometry from the Alexandria database. Energies are from PBE.

Unit cell a=3.8149 b=9.3956 c=13.6669 alpha=90.00 beta=90.00 gamma=101.71
Atoms (fractional coordinates):
Se  0.4856  0.9712  0.2823
Tl  0.1121  0.2241  0.6658
Tl  0.8879  0.7759  0.1658
Se  0.6483  0.2966  0.5033
Se  0.5144  0.0288  0.7823
Mn  0.2242  0.4483  0.0310
Se  0.7120  0.4240  0.9071
Ga  0.5803  0.1605  0.9323
Se  0.9241  0.8482  0.5447
Tl  0.1212  0.2423  0.3074
Se  0.0759  0.1518  0.0447
Se  0.3517  0.7034  0.0033
Se  0.7243  0.4486  0.1500
Mn  0.7758  0.5517  0.5310
Se  0.2757  0.5514  0.6500
Se  0.2880  0.5760  0.4071
Tl  0.8788  0.7577  0.8074
Ga  0.4197  0.8395  0.4323

The calculation puts the final energy at -4.217 eV per atom. For the formation energy without anion corrections, the calculation gives -0.400 eV/atom. The total moment comes out at 2.3 μB/f.u. The value obtained for the volume is 479.7 Å³ per cell.

***

11.
Here is crystalline MnTlGaSe3 at its relaxed geometry from the Alexandria database. Energies are from PBE.

Unit cell a=3.8669 b=7.9993 c=11.7567 alpha=110.60 beta=90.00 gamma=90.00
Atoms (fractional coordinates):
Tl  0.7500  0.7096  0.7293
Se  0.7500  0.9160  0.1783
Mn  0.2500  0.6623  0.1063
Se  0.2500  0.7815  0.4513
Se  0.2500  0.0840  0.8217
Mn  0.7500  0.3377  0.8937
Ga  0.7500  0.9128  0.3778
Ga  0.2500  0.0872  0.6222
Se  0.7500  0.2185  0.5487
Se  0.2500  0.5565  0.8746
Tl  0.2500  0.2904  0.2707
Se  0.7500  0.4435  0.1254

The calculation puts the final energy at -4.629 eV per atom. For the formation energy without anion corrections, the calculation gives -0.459 eV/atom. The total moment comes out at 4.9 μB/f.u. The value obtained for the volume is 340.4 Å³ per cell.

***

12.
Here is crystalline MnGaW2Se at its relaxed geometry from the Alexandria database. Energies are from PBE.

Unit cell a=4.6433 b=4.3183 c=4.6433 alpha=90.00 beta=90.00 gamma=90.00
Atoms (fractional coordinates):
Mn  0.0000  0.5000  0.0000
W  0.5000  0.0000  0.0000
Ga  0.5000  0.5000  0.5000
Se  0.0000  0.0000  0.0000
W  0.0000  0.0000  0.5000

The calculation puts the final energy at -7.057 eV per atom. For the formation energy without anion corrections, the calculation gives 1.261 eV/atom. The total moment comes out at 1.6 μB/f.u. The value obtained for the volume is 93.1 Å³ per cell.